This record from Alexandria describes a relaxed CrGaNiRu crystal. The functional is PBE.

Structure (extended XYZ):
```
4
Lattice="-3.226 -1.436 -2.255 -3.482 -1.314 1.925 -3.525 2.248 -0.281" Properties=species:S:1:pos:R:3 pbc="T T T"
Ga 0.000 0.000 0.000
Ru -7.674 -0.376 -0.458
Ni -2.558 -0.125 -0.153
Cr -5.116 -0.251 -0.306
```

The symmetry is F-43m (216). For the formation energy from the elements, the calculation gives -0.151 eV/atom. The spin magnetization is 2.85 μB/cell. As for the crystal system: cubic. The total DFT energy (no corrections) comes out at -7.078 eV per atom.

This record from Alexandria describes a relaxed CrGa3Ni2S8 crystal. The functional is PBE.

Structure (extended XYZ):
```
14
Lattice="12.444 -1.308 3.546 12.695 1.965 2.031 0.237 2.649 5.766" Properties=species:S:1:pos:R:3 pbc="T T T"
Ni 6.464 2.156 5.729
Ni 18.923 1.164 5.645
S 1.867 0.743 1.915
S 5.278 1.363 3.819
S 14.578 2.387 7.570
S 20.163 1.962 7.575
S 7.416 0.297 1.868
S 10.717 0.909 3.737
S 17.909 3.022 9.494
S 23.405 2.560 9.404
Ga 9.922 2.758 7.602
Ga 3.018 1.532 3.810
Ga 15.438 0.542 3.724
Cr 22.367 1.747 7.474
```

The symmetry is Cm (8). The spin magnetization is 3.13 μB/cell. As for the crystal system: monoclinic. The total DFT energy (no corrections) comes out at -5.004 eV per atom.

This record from Alexandria describes a relaxed TlCrGa2Ni crystal. The functional is PBE.

Structure (extended XYZ):
```
5
Lattice="-2.636 1.697 4.078 -3.840 -2.453 -1.461 1.572 -4.077 2.713" Properties=species:S:1:pos:R:3 pbc="T T T"
Ni -1.920 -1.227 -0.731
Cr -2.452 -2.416 2.665
Tl 0.000 0.000 0.000
Ga -1.318 0.849 2.039
Ga 0.786 -2.038 1.357
```

The symmetry is P4/mmm (123). For the formation energy from the elements, the calculation gives 1.685 eV/atom. The spin magnetization is 0.23 μB/cell. As for the crystal system: tetragonal. The total DFT energy (no corrections) comes out at -3.080 eV per atom.

This record from Alexandria describes a relaxed VCrGaNi crystal. The functional is PBE.

Structure (extended XYZ):
```
4
Lattice="4.137 0.000 0.000 2.069 3.583 0.000 2.069 1.194 3.378" Properties=species:S:1:pos:R:3 pbc="T T T"
Ga 4.137 2.389 1.689
V 0.000 0.000 0.000
Ni 2.069 1.194 0.845
Cr 6.206 3.583 2.534
```

The symmetry is F-43m (216). For the formation energy from the elements, the calculation gives -0.084 eV/atom. The spin magnetization is 0.05 μB/cell. As for the crystal system: cubic. The total DFT energy (no corrections) comes out at -6.972 eV per atom.

This record from Alexandria describes a relaxed YCr2GaNi crystal. The functional is PBE.

Structure (extended XYZ):
```
5
Lattice="-2.297 3.615 -0.789 -1.726 -0.073 4.685 3.380 2.428 1.283" Properties=species:S:1:pos:R:3 pbc="T T T"
Cr -1.148 1.807 -0.395
Cr 1.690 1.214 0.642
Ni 0.000 0.000 0.000
Ga -0.321 2.985 2.590
Y -0.863 -0.037 2.343
```

The symmetry is P4/mmm (123). For the formation energy from the elements, the calculation gives 0.838 eV/atom. The spin magnetization is 0.00 μB/cell. As for the crystal system: tetragonal. The total DFT energy (no corrections) comes out at -6.066 eV per atom.

This record from Alexandria describes a relaxed YCrGa2Ni crystal. The functional is PBE.

Structure (extended XYZ):
```
5
Lattice="-2.267 -0.378 4.069 4.037 -1.564 2.104 1.157 4.404 1.053" Properties=species:S:1:pos:R:3 pbc="T T T"
Ga -1.134 -0.189 2.035
Ga 0.579 2.202 0.527
Ni 1.463 1.231 3.613
Y 2.018 -0.782 1.052
Cr 0.000 0.000 0.000
```

The symmetry is P4/mmm (123). For the formation energy from the elements, the calculation gives 0.614 eV/atom. The spin magnetization is 0.40 μB/cell. As for the crystal system: tetragonal. The total DFT energy (no corrections) comes out at -4.971 eV per atom.